Material: SrLi2Zn2
Method: DFT, PBE
State: relaxed

Spin magnetization (μB/f.u.): 0.00
Relative energy among the computed polymorphs (meV per atom): 86.4
Symmetry: P4/mbm
Formation energy from the elements (eV/atom): -0.05

Unit cell a=8.060 b=8.060 c=3.291 alpha=90.00 beta=90.00 gamma=90.00
Fractional coordinates of all 10 atoms:
Sr 0.000 0.000 0.000
Sr 0.500 0.500 0.000
Li 0.119 0.381 0.000
Li 0.381 0.881 0.000
Li 0.619 0.119 0.000
Li 0.881 0.619 0.000
Zn 0.172 0.672 0.500
Zn 0.328 0.172 0.500
Zn 0.672 0.828 0.500
Zn 0.828 0.328 0.500